1.
RhPbSe2: PBEsol geometry, SCAN.

Calculated values
Symmetry   No. 166
E_form (uncorrected)   1.314 eV/f.u.

CIF file:
```
data_RhPbSe2
_cell_length_a 3.068
_cell_length_b 3.068
_cell_length_c 10.406
_cell_angle_alpha 81.52
_cell_angle_beta 81.52
_cell_angle_gamma 60.00
_symmetry_space_group_name_H-M 'P 1'
_symmetry_Int_Tables_number 1
loop_
_symmetry_equiv_pos_as_xyz
'x,y,z'
loop_
_atom_site_label
_atom_site_fract_x
_atom_site_fract_y
_atom_site_fract_z
_atom_site_occupancy
Pb1 0.500 0.500 0.500 1
Se1 0.924 0.924 0.228 1
Rh1 0.000 0.000 0.000 1
Se2 0.076 0.076 0.772 1
```

2.
TcPbBr2: PBEsol geometry, SCAN.

Calculated values
Symmetry   No. 123
E_form (uncorrected)   2.136 eV/f.u.

CIF file:
```
data_TcPbBr2
_cell_length_a 3.600
_cell_length_b 5.060
_cell_length_c 5.060
_cell_angle_alpha 90.00
_cell_angle_beta 90.00
_cell_angle_gamma 90.00
_symmetry_space_group_name_H-M 'P 1'
_symmetry_Int_Tables_number 1
loop_
_symmetry_equiv_pos_as_xyz
'x,y,z'
loop_
_atom_site_label
_atom_site_fract_x
_atom_site_fract_y
_atom_site_fract_z
_atom_site_occupancy
Br1 0.000 0.000 0.500 1
Br2 0.000 0.500 0.000 1
Pb1 0.500 0.500 0.500 1
Tc1 0.500 0.000 0.000 1
```

3.
NbHgPCl2: PBEsol geometry, SCAN.

Calculated values
Symmetry   No. 123
E_form (uncorrected)   4.050 eV/f.u.

CIF file:
```
data_NbHgPCl2
_cell_length_a 5.036
_cell_length_b 4.950
_cell_length_c 4.950
_cell_angle_alpha 90.00
_cell_angle_beta 90.00
_cell_angle_gamma 90.00
_symmetry_space_group_name_H-M 'P 1'
_symmetry_Int_Tables_number 1
loop_
_symmetry_equiv_pos_as_xyz
'x,y,z'
loop_
_atom_site_label
_atom_site_fract_x
_atom_site_fract_y
_atom_site_fract_z
_atom_site_occupancy
Nb1 0.500 0.500 0.500 1
Cl1 0.000 0.000 0.500 1
Cl2 0.000 0.500 0.000 1
Hg1 0.000 0.000 0.000 1
P1 0.500 0.000 0.000 1
```

4.
MnTl2Te: PBEsol geometry, SCAN.

Calculated values
Symmetry   No. 65
E_form (uncorrected)   0.609 eV/f.u.

CIF file:
```
data_MnTl2Te
_cell_length_a 3.214
_cell_length_b 5.902
_cell_length_c 5.902
_cell_angle_alpha 115.60
_cell_angle_beta 90.00
_cell_angle_gamma 90.00
_symmetry_space_group_name_H-M 'P 1'
_symmetry_Int_Tables_number 1
loop_
_symmetry_equiv_pos_as_xyz
'x,y,z'
loop_
_atom_site_label
_atom_site_fract_x
_atom_site_fract_y
_atom_site_fract_z
_atom_site_occupancy
Tl1 0.000 0.500 0.000 1
Tl2 0.000 0.000 0.500 1
Mn1 0.500 0.000 0.000 1
Te1 0.500 0.500 0.500 1
```

5.
ZrZn2Se: PBEsol geometry, SCAN.

Calculated values
Symmetry   No. 139
E_form (uncorrected)   -1.605 eV/f.u.

CIF file:
```
data_ZrZn2Se
_cell_length_a 3.743
_cell_length_b 3.743
_cell_length_c 5.587
_cell_angle_alpha 109.57
_cell_angle_beta 109.57
_cell_angle_gamma 90.00
_symmetry_space_group_name_H-M 'P 1'
_symmetry_Int_Tables_number 1
loop_
_symmetry_equiv_pos_as_xyz
'x,y,z'
loop_
_atom_site_label
_atom_site_fract_x
_atom_site_fract_y
_atom_site_fract_z
_atom_site_occupancy
Zn1 0.750 0.250 0.500 1
Zn2 0.250 0.750 0.500 1
Se1 0.000 0.000 0.000 1
Zr1 0.500 0.500 0.000 1
```

6.
MgZnMo2: PBEsol geometry, SCAN.

Calculated values
Symmetry   No. 99
Formation energy   0.121 eV per atom

CIF file:
```
data_MgZnMo2
_cell_length_a 3.216
_cell_length_b 3.216
_cell_length_c 6.251
_cell_angle_alpha 90.00
_cell_angle_beta 90.00
_cell_angle_gamma 90.00
_symmetry_space_group_name_H-M 'P 1'
_symmetry_Int_Tables_number 1
loop_
_symmetry_equiv_pos_as_xyz
'x,y,z'
loop_
_atom_site_label
_atom_site_fract_x
_atom_site_fract_y
_atom_site_fract_z
_atom_site_occupancy
Zn1 0.000 0.000 0.490 1
Mg1 0.500 0.500 0.742 1
Mo1 0.000 0.000 0.039 1
Mo2 0.500 0.500 0.230 1
```

7.
KRhBr2: PBEsol geometry, SCAN.

Calculated values
Symmetry   No. 71
E_form (uncorrected)   -3.037 eV/f.u.

CIF file:
```
data_KRhBr2
_cell_length_a 3.682
_cell_length_b 5.868
_cell_length_c 5.938
_cell_angle_alpha 119.61
_cell_angle_beta 108.06
_cell_angle_gamma 90.00
_symmetry_space_group_name_H-M 'P 1'
_symmetry_Int_Tables_number 1
loop_
_symmetry_equiv_pos_as_xyz
'x,y,z'
loop_
_atom_site_label
_atom_site_fract_x
_atom_site_fract_y
_atom_site_fract_z
_atom_site_occupancy
Rh1 0.000 0.500 0.000 1
Br1 0.333 0.333 0.665 1
K1 0.500 0.000 0.000 1
Br2 0.667 0.667 0.335 1
```

8.
Sb2RuC: PBEsol geometry, SCAN.

Calculated values
Symmetry   No. 225
E_form (uncorrected)   5.915 eV/f.u.

CIF file:
```
data_Sb2RuC
_cell_length_a 4.527
_cell_length_b 4.527
_cell_length_c 4.527
_cell_angle_alpha 60.00
_cell_angle_beta 60.00
_cell_angle_gamma 60.00
_symmetry_space_group_name_H-M 'P 1'
_symmetry_Int_Tables_number 1
loop_
_symmetry_equiv_pos_as_xyz
'x,y,z'
loop_
_atom_site_label
_atom_site_fract_x
_atom_site_fract_y
_atom_site_fract_z
_atom_site_occupancy
Sb1 0.750 0.750 0.750 1
Sb2 0.250 0.250 0.250 1
Ru1 0.500 0.500 0.500 1
C1 0.000 0.000 0.000 1
```

9.
CuNi2Ir: PBEsol geometry, SCAN.

Calculated values
Symmetry   No. 160
Formation energy   0.070 eV per atom

CIF file:
```
data_CuNi2Ir
_cell_length_a 2.588
_cell_length_b 2.588
_cell_length_c 8.298
_cell_angle_alpha 81.03
_cell_angle_beta 81.03
_cell_angle_gamma 60.00
_symmetry_space_group_name_H-M 'P 1'
_symmetry_Int_Tables_number 1
loop_
_symmetry_equiv_pos_as_xyz
'x,y,z'
loop_
_atom_site_label
_atom_site_fract_x
_atom_site_fract_y
_atom_site_fract_z
_atom_site_occupancy
Ni1 0.003 0.003 0.990 1
Ni2 0.749 0.749 0.754 1
Cu1 0.496 0.496 0.512 1
Ir1 0.252 0.252 0.245 1
```

10.
SiRh2Br: PBEsol geometry, SCAN.

Calculated values
Symmetry   No. 99
E_form (uncorrected)   0.272 eV/f.u.

CIF file:
```
data_SiRh2Br
_cell_length_a 3.409
_cell_length_b 3.409
_cell_length_c 5.321
_cell_angle_alpha 90.00
_cell_angle_beta 90.00
_cell_angle_gamma 90.00
_symmetry_space_group_name_H-M 'P 1'
_symmetry_Int_Tables_number 1
loop_
_symmetry_equiv_pos_as_xyz
'x,y,z'
loop_
_atom_site_label
_atom_site_fract_x
_atom_site_fract_y
_atom_site_fract_z
_atom_site_occupancy
Si1 0.000 0.000 0.415 1
Rh1 0.500 0.500 0.292 1
Br1 0.500 0.500 0.822 1
Rh2 0.000 0.000 0.971 1
```

11.
KHg2Au: PBEsol geometry, SCAN.

Calculated values
Symmetry   No. 139
Formation energy   -0.201 eV per atom

CIF file:
```
data_KHg2Au
_cell_length_a 5.102
_cell_length_b 5.102
_cell_length_c 5.160
_cell_angle_alpha 119.63
_cell_angle_beta 119.63
_cell_angle_gamma 90.00
_symmetry_space_group_name_H-M 'P 1'
_symmetry_Int_Tables_number 1
loop_
_symmetry_equiv_pos_as_xyz
'x,y,z'
loop_
_atom_site_label
_atom_site_fract_x
_atom_site_fract_y
_atom_site_fract_z
_atom_site_occupancy
Hg1 0.250 0.750 0.500 1
Au1 0.500 0.500 0.000 1
Hg2 0.750 0.250 0.500 1
K1 0.000 0.000 0.000 1
```

12.
Sc3TlZn: PBEsol geometry, SCAN.

Calculated values
Symmetry   No. 221
Formation energy   -0.008 eV per atom

CIF file:
```
data_Sc3TlZn
_cell_length_a 4.961
_cell_length_b 4.961
_cell_length_c 4.961
_cell_angle_alpha 90.00
_cell_angle_beta 90.00
_cell_angle_gamma 90.00
_symmetry_space_group_name_H-M 'P 1'
_symmetry_Int_Tables_number 1
loop_
_symmetry_equiv_pos_as_xyz
'x,y,z'
loop_
_atom_site_label
_atom_site_fract_x
_atom_site_fract_y
_atom_site_fract_z
_atom_site_occupancy
Zn1 0.000 0.000 0.000 1
Sc1 0.000 0.500 0.000 1
Sc2 0.000 0.000 0.500 1
Sc3 0.500 0.000 0.000 1
Tl1 0.500 0.500 0.500 1
```